Record 1
Entry from Alexandria: CaTiBH2 after structural relaxation (GGA-PBE).

a b c (Å): 3.8582 3.8582 4.9478
angles (deg): 90.00 90.00 90.00
Last column: nearest neighbours and their distance in Å.
Space group P4/mmm (No. 123)
One atom of each set of equivalent atoms:
Ca  0.0000  0.0000  0.0000  2 B 2.47, 4 Ti 2.73
Ti  0.5000  0.5000  0.0000  4 Ca 2.73
B  0.0000  0.0000  0.5000  4 H 1.93
H  0.0000  0.5000  0.5000  2 B 1.93

Output
The value obtained for the density of states at the Fermi level is 0.74 states/eV per atom. As for the total magnetization: 2.5 μB per formula unit. The value obtained for the calculated total energy is -3.0571 eV per atom.

***

Record 2
Entry from Alexandria: Ca3HfB after structural relaxation (GGA-PBE).

a b c (Å): 5.2749 5.2749 5.2749
angles (deg): 90.00 90.00 90.00
Last column: nearest neighbours and their distance in Å.
Space group Pm-3m (No. 221)
One atom of each set of equivalent atoms:
Ca  0.0000  0.0000  0.5000  2 B 2.64
Hf  0.5000  0.5000  0.5000  12 Ca 3.73
B  0.0000  0.0000  0.0000  6 Ca 2.64

Output
The value obtained for the density of states at the Fermi level is 1.99 states/eV per atom. As for the total magnetization: 2.3 μB per formula unit. The value obtained for the calculated total energy is -3.7825 eV per atom. As for the formation energy from the elements: 0.745 eV per atom. The relative energy among the computed polymorphs comes out at 0 meV per atom.

***

Record 3
Entry from Alexandria: Ca3HfB after structural relaxation (GGA-PBE).

a b c (Å): 5.8480 5.8480 5.8480
angles (deg): 90.00 90.00 90.00
Last column: nearest neighbours and their distance in Å.
Space group Pm-3m (No. 221)
One atom of each set of equivalent atoms:
Ca  0.0000  0.0000  0.5000  2 Hf 2.92
Hf  0.0000  0.0000  0.0000  6 Ca 2.92
B  0.5000  0.5000  0.5000  12 Ca 4.14

Output
The value obtained for the density of states at the Fermi level is 1.27 states/eV per atom. As for the total magnetization: 2.5 μB per formula unit. The value obtained for the calculated total energy is -2.6588 eV per atom. As for the formation energy from the elements: 1.868 eV per atom. The relative energy among the computed polymorphs comes out at 1124 meV per atom.

***

Record 4
Entry from Alexandria: Ca2HfInB after structural relaxation (GGA-PBE).

a b c (Å): 6.0653 6.0653 4.0679
angles (deg): 90.00 90.00 90.00
Last column: nearest neighbours and their distance in Å.
Space group P4/mmm (No. 123)
One atom of each set of equivalent atoms:
Ca  0.0000  0.5000  0.0000  2 In 3.03
Hf  0.0000  0.0000  0.5000  8 Ca 3.65, 2 Hf 4.07
In  0.5000  0.5000  0.0000  2 B 2.03
B  0.5000  0.5000  0.5000  2 In 2.03

Output
The value obtained for the density of states at the Fermi level is 0.61 states/eV per atom. As for the total magnetization: 3.1 μB per formula unit. The value obtained for the calculated total energy is -3.5871 eV per atom. As for the formation energy from the elements: 1.087 eV per atom.

***

Record 5
Entry from Alexandria: Ca2HfB2Ir5 after structural relaxation (GGA-PBE).

a b c (Å): 9.9668 9.9668 3.0475
angles (deg): 90.00 90.00 90.00
Last column: nearest neighbours and their distance in Å.
Space group P4/mbm (No. 127)
One atom of each set of equivalent atoms:
Ca  0.1779  0.3221  0.0000  3 B 2.86-3.02, 10 Ir 2.93-3.05, 2 Ca 3.05
Hf  0.0000  0.0000  0.0000  8 Ir 2.80, 2 Hf 3.05
B  0.1194  0.6194  0.0000  6 Ir 2.23-2.27
Ir  0.0000  0.5000  0.5000  4 B 2.27
Ir  0.0689  0.7744  0.5000  2 B 2.23

Output
The value obtained for the density of states at the Fermi level is 0.40 states/eV per atom. As for the total magnetization: 0.0 μB per formula unit. The value obtained for the calculated total energy is -7.7628 eV per atom. As for the formation energy from the elements: -0.601 eV per atom.

***

Record 6
Entry from Alexandria: CaYHfB2 after structural relaxation (GGA-PBE).

a b c (Å): 4.7030 4.7030 5.1091
angles (deg): 90.00 90.00 90.00
Last column: nearest neighbours and their distance in Å.
Space group P4/mmm (No. 123)
One atom of each set of equivalent atoms:
Ca  0.0000  0.0000  0.0000  4 Y 3.33, 8 B 3.47
Y  0.5000  0.5000  0.0000  2 Hf 2.55
Hf  0.5000  0.5000  0.5000  4 B 2.35, 2 Y 2.55
B  0.0000  0.5000  0.5000  2 Hf 2.35

Output
The value obtained for the density of states at the Fermi level is 0.69 states/eV per atom. As for the total magnetization: 0.0 μB per formula unit. The value obtained for the calculated total energy is -5.2059 eV per atom. As for the formation energy from the elements: 1.149 eV per atom.

***

Record 7
Entry from Alexandria: CaHgB3 after structural relaxation (GGA-PBE).

a b c (Å): 4.4680 4.4680 4.4680
angles (deg): 90.00 90.00 90.00
Last column: nearest neighbours and their distance in Å.
Space group Pm-3m (No. 221)
One atom of each set of equivalent atoms:
Ca  0.0000  0.0000  0.0000  12 B 3.16
Hg  0.5000  0.5000  0.5000  6 B 2.23
B  0.0000  0.5000  0.5000  2 Hg 2.23

Output
The value obtained for the density of states at the Fermi level is 0.63 states/eV per atom. As for the total magnetization: 0.0 μB per formula unit. The value obtained for the calculated total energy is -2.7086 eV per atom. As for the formation energy from the elements: 1.759 eV per atom. The relative energy among the computed polymorphs comes out at 0 meV per atom.

***

Record 8
Entry from Alexandria: CaHgB3 after structural relaxation (GGA-PBE).

a b c (Å): 4.8817 4.8817 4.8817
angles (deg): 90.00 90.00 90.00
Last column: nearest neighbours and their distance in Å.
Space group Pm-3m (No. 221)
One atom of each set of equivalent atoms:
Ca  0.0000  0.0000  0.0000  6 B 2.44
Hg  0.5000  0.5000  0.5000  12 B 3.45
B  0.0000  0.0000  0.5000  2 Ca 2.44

Output
The value obtained for the density of states at the Fermi level is 0.96 states/eV per atom. As for the total magnetization: 0.2 μB per formula unit. The value obtained for the calculated total energy is -1.9026 eV per atom. As for the formation energy from the elements: 2.565 eV per atom. The relative energy among the computed polymorphs comes out at 806 meV per atom.